VASP calculation (PBE) on a relaxed structure of CuF2.

Calculated values
final energy = -3.860 eV per atom

Geometry as POSCAR:
```
CuF2
1.0
-5.300 3.069 7.395
-1.404 -2.815 0.162
3.044 -1.360 2.746
Cu F
4 8
Direct
0.372 0.750 0.616 Cu
0.628 0.250 0.384 Cu
0.128 0.250 0.116 Cu
0.872 0.750 0.884 Cu
0.243 0.750 0.952 F
0.003 0.750 0.241 F
0.497 0.250 0.741 F
0.503 0.750 0.259 F
0.997 0.250 0.759 F
0.257 0.250 0.452 F
0.743 0.750 0.548 F
0.757 0.250 0.048 F
```